This record from Alexandria describes HfSc2Ru after structural relaxation. The functional is PBE.

Cell: 6.7119 8.5765 5.8717 Å, 90.00 90.00 90.00°
Space group Pnma (No. 62)
Symmetry-distinct sites (fractional):
Hf (0.0329, 0.2500, 0.1160) x4
Sc (0.1823, 0.0581, 0.6708) x8
Ru (0.1130, 0.7500, 0.4652) x4

The crystal system is orthorhombic. As for the calculated total energy: -33.138 eV/f.u. The formation enthalpy at 0 K is -0.31 eV per atom. The calculation puts the mass density at 7.3 Mg/m³.